No. 1
First-principles (PBE) data for a geometry-optimized NdGd2Ho structure, as listed in Alexandria via LeMat-Bulk.

abc: 5.0673 5.0673 5.0934
angles: 90.00 90.00 90.00
With the nearest neighbours (Å) after each atom.
Space group P4/mmm (No. 123)
One atom of each set of equivalent atoms:
Nd  0.0000  0.0000  0.0000  4 Ho 3.58, 8 Gd 3.59
Gd  0.0000  0.5000  0.5000  4 Gd 3.58, 4 Ho 3.59, 4 Nd 3.59
Ho  0.5000  0.5000  0.0000  4 Nd 3.58, 8 Gd 3.59

Computed properties:
distance to the lowest polymorph of the same formula = 0.000 eV per atom

No. 2
First-principles (PBE) data for a geometry-optimized NdGdHo4 structure, as listed in Alexandria via LeMat-Bulk.

abc: 9.3290 9.3290 9.3290
angles: 90.00 90.00 90.00
With the nearest neighbours (Å) after each atom.
Space group F-43m (No. 216)
One atom of each set of equivalent atoms:
Nd  0.0000  0.0000  0.0000  12 Ho 3.87, 4 Gd 4.04
Gd  0.2500  0.2500  0.2500  12 Ho 3.87, 4 Nd 4.04
Ho  0.1252  0.1252  0.6252  6 Ho 3.29-3.30

No. 3
First-principles (PBE) data for a geometry-optimized NdGdHo2 structure, as listed in Alexandria via LeMat-Bulk.

abc: 8.0593 8.0593 8.0593
angles: 90.00 90.00 90.00
With the nearest neighbours (Å) after each atom.
Space group Fm-3m (No. 225)
One atom of each set of equivalent atoms:
Nd  0.0000  0.0000  0.0000  8 Ho 3.49
Gd  0.0000  0.0000  0.5000  8 Ho 3.49
Ho  0.2500  0.2500  0.2500  4 Gd 3.49, 4 Nd 3.49

Computed properties:
distance to the lowest polymorph of the same formula = 0.094 eV per atom

No. 4
First-principles (PBE) data for a geometry-optimized NdGd2Ho structure, as listed in Alexandria via LeMat-Bulk.

abc: 3.5914 3.5914 35.1903
angles: 90.00 90.00 120.00
With the nearest neighbours (Å) after each atom.
Space group R-3m (No. 166, hexagonal axes)
One atom of each set of equivalent atoms:
Nd  0.0000  0.0000  0.0000  6 Nd 3.59, 6 Gd 3.63
Gd  0.0000  0.0000  0.2485  3 Ho 3.55, 6 Gd 3.59, 3 Nd 3.63
Ho  0.0000  0.0000  0.5000  6 Gd 3.55, 6 Ho 3.59

Computed properties:
distance to the lowest polymorph of the same formula = 0.004 eV per atom

No. 5
First-principles (PBE) data for a geometry-optimized PmNdGdHo structure, as listed in Alexandria via LeMat-Bulk.

abc: 8.1264 8.1264 8.1264
angles: 90.00 90.00 90.00
With the nearest neighbours (Å) after each atom.
Space group F-43m (No. 216)
One atom of each set of equivalent atoms:
Pm  0.0000  0.0000  0.0000  4 Gd 3.52, 4 Ho 3.52
Nd  0.0000  0.0000  0.5000  4 Gd 3.52, 4 Ho 3.52
Gd  0.2500  0.2500  0.7500  4 Nd 3.52, 4 Pm 3.52
Ho  0.2500  0.2500  0.2500  4 Nd 3.52, 4 Pm 3.52

No. 6
First-principles (PBE) data for a geometry-optimized PrNdGdHo structure, as listed in Alexandria via LeMat-Bulk.

abc: 8.1589 8.1589 8.1589
angles: 90.00 90.00 90.00
With the nearest neighbours (Å) after each atom.
Space group F-43m (No. 216)
One atom of each set of equivalent atoms:
Pr  0.0000  0.0000  0.0000  4 Ho 3.53, 4 Gd 3.53
Nd  0.0000  0.0000  0.5000  4 Gd 3.53, 4 Ho 3.53
Gd  0.2500  0.2500  0.2500  4 Pr 3.53, 4 Nd 3.53
Ho  0.2500  0.2500  0.7500  4 Pr 3.53, 4 Nd 3.53

No. 7
First-principles (PBE) data for a geometry-optimized NdSmGdHo structure, as listed in Alexandria via LeMat-Bulk.

abc: 8.1181 8.1181 8.1181
angles: 90.00 90.00 90.00
With the nearest neighbours (Å) after each atom.
Space group F-43m (No. 216)
One atom of each set of equivalent atoms:
Nd  0.0000  0.0000  0.0000  4 Sm 3.52, 4 Ho 3.52
Sm  0.2500  0.2500  0.2500  4 Gd 3.52, 4 Nd 3.52
Gd  0.0000  0.0000  0.5000  4 Ho 3.52, 4 Sm 3.52
Ho  0.2500  0.2500  0.7500  4 Gd 3.52, 4 Nd 3.52

No. 8
First-principles (PBE) data for a geometry-optimized TbNdGdHo structure, as listed in Alexandria via LeMat-Bulk.

abc: 8.0794 8.0794 8.0794
angles: 90.00 90.00 90.00
With the nearest neighbours (Å) after each atom.
Space group F-43m (No. 216)
One atom of each set of equivalent atoms:
Tb  0.0000  0.0000  0.0000  4 Gd 3.50, 4 Nd 3.50
Nd  0.2500  0.2500  0.7500  4 Tb 3.50, 4 Ho 3.50
Gd  0.2500  0.2500  0.2500  4 Tb 3.50, 4 Ho 3.50
Ho  0.0000  0.0000  0.5000  4 Gd 3.50, 4 Nd 3.50

No. 9
First-principles (PBE) data for a geometry-optimized NdGdHoTl structure, as listed in Alexandria via LeMat-Bulk.

abc: 7.8267 7.8267 7.8267
angles: 90.00 90.00 90.00
With the nearest neighbours (Å) after each atom.
Space group F-43m (No. 216)
One atom of each set of equivalent atoms:
Nd  0.0000  0.0000  0.0000  4 Tl 3.39, 4 Ho 3.39
Gd  0.0000  0.0000  0.5000  4 Ho 3.39, 4 Tl 3.39
Ho  0.2500  0.2500  0.2500  4 Nd 3.39, 4 Gd 3.39
Tl  0.2500  0.2500  0.7500  4 Gd 3.39, 4 Nd 3.39

No. 10
First-principles (PBE) data for a geometry-optimized NdGdHoTm structure, as listed in Alexandria via LeMat-Bulk.

abc: 8.0375 8.0375 8.0375
angles: 90.00 90.00 90.00
With the nearest neighbours (Å) after each atom.
Space group F-43m (No. 216)
One atom of each set of equivalent atoms:
Nd  0.0000  0.0000  0.0000  4 Ho 3.48, 4 Tm 3.48
Gd  0.0000  0.0000  0.5000  4 Ho 3.48, 4 Tm 3.48
Ho  0.2500  0.2500  0.2500  4 Gd 3.48, 4 Nd 3.48
Tm  0.2500  0.2500  0.7500  4 Nd 3.48, 4 Gd 3.48

No. 11
First-principles (PBE) data for a geometry-optimized GdHo2Ni structure, as listed in Alexandria via LeMat-Bulk.

abc: 3.6996 3.6996 27.9176
angles: 90.00 90.00 120.00
With the nearest neighbours (Å) after each atom.
Space group R-3m (No. 166, hexagonal axes)
One atom of each set of equivalent atoms:
Gd  0.0000  0.0000  0.0000  6 Ho 3.68, 6 Gd 3.70
Ho  0.0000  0.0000  0.2258  3 Ni 2.70
Ni  0.0000  0.0000  0.5000  6 Ho 2.70

Computed properties:
distance to the lowest polymorph of the same formula = 0.093 eV per atom

No. 12
First-principles (PBE) data for a geometry-optimized GdHo2Ni structure, as listed in Alexandria via LeMat-Bulk.

abc: 3.4382 3.4382 8.6538
angles: 90.00 90.00 90.00
With the nearest neighbours (Å) after each atom.
Space group P4/mmm (No. 123)
One atom of each set of equivalent atoms:
Gd  0.0000  0.0000  0.0000  4 Gd 3.44, 8 Ho 3.65
Ho  0.5000  0.5000  0.3153  4 Ni 2.91, 1 Ho 3.20
Ni  0.0000  0.0000  0.5000  8 Ho 2.91

Computed properties:
distance to the lowest polymorph of the same formula = 0.000 eV per atom

No. 13
First-principles (PBE) data for a geometry-optimized GdHoNi2 structure, as listed in Alexandria via LeMat-Bulk.

abc: 6.7725 6.7725 6.7725
angles: 90.00 90.00 90.00
With the nearest neighbours (Å) after each atom.
Space group Fm-3m (No. 225)
One atom of each set of equivalent atoms:
Gd  0.0000  0.0000  0.0000  8 Ni 2.93
Ho  0.0000  0.0000  0.5000  8 Ni 2.93
Ni  0.2500  0.2500  0.2500  4 Gd 2.93, 4 Ho 2.93

Computed properties:
distance to the lowest polymorph of the same formula = 0.003 eV per atom

No. 14
First-principles (PBE) data for a geometry-optimized GdHoNi structure, as listed in Alexandria via LeMat-Bulk.

abc: 3.9187 3.9187 6.1753
angles: 90.00 90.00 120.00
With the nearest neighbours (Å) after each atom.
Space group P3m1 (No. 156)
One atom of each set of equivalent atoms:
Gd  0.0000  0.0000  0.0000  3 Ni 2.73
Ho  0.6667  0.3333  0.5170  3 Ni 2.69
Ni  0.3333  0.6667  0.7513  3 Ho 2.69, 3 Gd 2.73

Computed properties:
distance to the lowest polymorph of the same formula = 0.077 eV per atom

No. 15
First-principles (PBE) data for a geometry-optimized Gd2HoNi structure, as listed in Alexandria via LeMat-Bulk.

abc: 3.6788 3.6788 28.3084
angles: 90.00 90.00 120.00
With the nearest neighbours (Å) after each atom.
Space group R-3m (No. 166, hexagonal axes)
One atom of each set of equivalent atoms:
Gd  0.0000  0.0000  0.2284  3 Ni 2.75
Ho  0.0000  0.0000  0.0000  6 Gd 3.65, 6 Ho 3.68
Ni  0.0000  0.0000  0.5000  6 Gd 2.75

Computed properties:
distance to the lowest polymorph of the same formula = 0.066 eV per atom

No. 16
First-principles (PBE) data for a geometry-optimized Gd2HoNi structure, as listed in Alexandria via LeMat-Bulk.

abc: 3.4941 3.4941 8.5235
angles: 90.00 90.00 90.00
With the nearest neighbours (Å) after each atom.
Space group P4/mmm (No. 123)
One atom of each set of equivalent atoms:
Gd  0.0000  0.0000  0.1905  4 Ni 2.96, 1 Gd 3.25
Ho  0.5000  0.5000  0.5000  4 Ho 3.49, 8 Gd 3.61
Ni  0.5000  0.5000  0.0000  8 Gd 2.96

Computed properties:
distance to the lowest polymorph of the same formula = 0.000 eV per atom

No. 17
First-principles (PBE) data for a geometry-optimized GdHoNi2 structure, as listed in Alexandria via LeMat-Bulk.

abc: 4.8178 4.8178 3.3363
angles: 90.00 90.00 90.00
With the nearest neighbours (Å) after each atom.
Space group P4/mmm (No. 123)
One atom of each set of equivalent atoms:
Gd  0.0000  0.0000  0.0000  8 Ni 2.93
Ho  0.5000  0.5000  0.0000  8 Ni 2.93
Ni  0.0000  0.5000  0.5000  4 Gd 2.93, 4 Ho 2.93

Computed properties:
distance to the lowest polymorph of the same formula = 0.000 eV per atom

No. 18
First-principles (PBE) data for a geometry-optimized GdHoNi structure, as listed in Alexandria via LeMat-Bulk.

abc: 3.4096 3.4096 12.4643
angles: 90.00 90.00 90.00
With the nearest neighbours (Å) after each atom.
Space group I4mm (No. 107)
One atom of each set of equivalent atoms:
Gd  0.0000  0.0000  0.0000  4 Ni 2.96, 1 Ho 3.27
Ho  0.0000  0.0000  0.2620  4 Ni 2.87
Ni  0.0000  0.0000  0.6373  4 Ho 2.87, 4 Gd 2.96

Computed properties:
distance to the lowest polymorph of the same formula = 0.000 eV per atom

No. 19
First-principles (PBE) data for a geometry-optimized GdHoNi4 structure, as listed in Alexandria via LeMat-Bulk.

abc: 7.1732 7.1732 7.1732
angles: 90.00 90.00 90.00
With the nearest neighbours (Å) after each atom.
Space group F-43m (No. 216)
One atom of each set of equivalent atoms:
Gd  0.0000  0.0000  0.0000  12 Ni 2.97, 4 Ho 3.11
Ho  0.2500  0.2500  0.2500  12 Ni 2.97, 4 Gd 3.11
Ni  0.1247  0.1247  0.6247  6 Ni 2.53-2.54

No. 20
First-principles (PBE) data for a geometry-optimized Gd3HoNi structure, as listed in Alexandria via LeMat-Bulk.

abc: 5.3511 5.3511 5.3511
angles: 90.00 90.00 90.00
With the nearest neighbours (Å) after each atom.
Space group Pm-3m (No. 221)
One atom of each set of equivalent atoms:
Gd  0.0000  0.0000  0.5000  2 Ni 2.68
Ho  0.5000  0.5000  0.5000  12 Gd 3.78
Ni  0.0000  0.0000  0.0000  6 Gd 2.68

No. 21
First-principles (PBE) data for a geometry-optimized GdHoNi structure, as listed in Alexandria via LeMat-Bulk.

abc: 6.7213 6.7213 6.7213
angles: 90.00 90.00 90.00
With the nearest neighbours (Å) after each atom.
Space group F-43m (No. 216)
One atom of each set of equivalent atoms:
Gd  0.0000  0.0000  0.0000  4 Ni 2.91
Ho  0.0000  0.0000  0.5000  4 Ni 2.91
Ni  0.2500  0.2500  0.2500  4 Gd 2.91, 4 Ho 2.91

Computed properties:
distance to the lowest polymorph of the same formula = 0.087 eV per atom

No. 22
First-principles (PBE) data for a geometry-optimized GdHoNiPd structure, as listed in Alexandria via LeMat-Bulk.

abc: 6.9286 6.9286 6.9286
angles: 90.00 90.00 90.00
With the nearest neighbours (Å) after each atom.
Space group F-43m (No. 216)
One atom of each set of equivalent atoms:
Gd  0.0000  0.0000  0.0000  4 Ni 3.00, 4 Pd 3.00
Ho  0.0000  0.0000  0.5000  4 Pd 3.00, 4 Ni 3.00
Ni  0.2500  0.2500  0.7500  4 Ho 3.00, 4 Gd 3.00
Pd  0.2500  0.2500  0.2500  4 Gd 3.00, 4 Ho 3.00

No. 23
First-principles (PBE) data for a geometry-optimized GdHoNiPt structure, as listed in Alexandria via LeMat-Bulk.

abc: 6.9141 6.9141 6.9141
angles: 90.00 90.00 90.00
With the nearest neighbours (Å) after each atom.
Space group F-43m (No. 216)
One atom of each set of equivalent atoms:
Gd  0.0000  0.0000  0.0000  4 Ni 2.99, 4 Pt 2.99
Ho  0.0000  0.0000  0.5000  4 Pt 2.99, 4 Ni 2.99
Ni  0.2500  0.2500  0.7500  4 Ho 2.99, 4 Gd 2.99
Pt  0.2500  0.2500  0.2500  4 Gd 2.99, 4 Ho 2.99

No. 24
First-principles (PBE) data for a geometry-optimized GdHoNiRh structure, as listed in Alexandria via LeMat-Bulk.

abc: 6.8389 6.8389 6.8389
angles: 90.00 90.00 90.00
With the nearest neighbours (Å) after each atom.
Space group F-43m (No. 216)
One atom of each set of equivalent atoms:
Gd  0.0000  0.0000  0.0000  4 Ni 2.96, 4 Rh 2.96
Ho  0.0000  0.0000  0.5000  4 Ni 2.96, 4 Rh 2.96
Ni  0.2500  0.2500  0.7500  4 Gd 2.96, 4 Ho 2.96
Rh  0.2500  0.2500  0.2500  4 Gd 2.96, 4 Ho 2.96

No. 25
First-principles (PBE) data for a geometry-optimized GdHoNiRu structure, as listed in Alexandria via LeMat-Bulk.

abc: 6.7995 6.7995 6.7995
angles: 90.00 90.00 90.00
With the nearest neighbours (Å) after each atom.
Space group F-43m (No. 216)
One atom of each set of equivalent atoms:
Gd  0.0000  0.0000  0.0000  4 Ru 2.94, 4 Ni 2.94
Ho  0.0000  0.0000  0.5000  4 Ru 2.94, 4 Ni 2.94
Ni  0.2500  0.2500  0.2500  4 Gd 2.94, 4 Ho 2.94
Ru  0.2500  0.2500  0.7500  4 Gd 2.94, 4 Ho 2.94

No. 26
First-principles (PBE) data for a geometry-optimized GdHoNiSn structure, as listed in Alexandria via LeMat-Bulk.

abc: 7.2191 7.2191 7.2191
angles: 90.00 90.00 90.00
With the nearest neighbours (Å) after each atom.
Space group F-43m (No. 216)
One atom of each set of equivalent atoms:
Gd  0.0000  0.0000  0.0000  4 Sn 3.13, 4 Ni 3.13
Ho  0.0000  0.0000  0.5000  4 Sn 3.13, 4 Ni 3.13
Ni  0.2500  0.2500  0.7500  4 Gd 3.13, 4 Ho 3.13
Sn  0.2500  0.2500  0.2500  4 Gd 3.13, 4 Ho 3.13

No. 27
First-principles (PBE) data for a geometry-optimized GdHoTcNi structure, as listed in Alexandria via LeMat-Bulk.

abc: 6.8067 6.8067 6.8067
angles: 90.00 90.00 90.00
With the nearest neighbours (Å) after each atom.
Space group F-43m (No. 216)
One atom of each set of equivalent atoms:
Gd  0.0000  0.0000  0.0000  4 Ni 2.95, 4 Tc 2.95
Ho  0.0000  0.0000  0.5000  4 Tc 2.95, 4 Ni 2.95
Tc  0.2500  0.2500  0.7500  4 Gd 2.95, 4 Ho 2.95
Ni  0.2500  0.2500  0.2500  4 Gd 2.95, 4 Ho 2.95

No. 28
First-principles (PBE) data for a geometry-optimized GdHoZnNi structure, as listed in Alexandria via LeMat-Bulk.

abc: 6.9627 6.9627 6.9627
angles: 90.00 90.00 90.00
With the nearest neighbours (Å) after each atom.
Space group F-43m (No. 216)
One atom of each set of equivalent atoms:
Gd  0.0000  0.0000  0.0000  4 Zn 3.01, 4 Ni 3.01
Ho  0.0000  0.0000  0.5000  4 Ni 3.01, 4 Zn 3.01
Zn  0.2500  0.2500  0.2500  4 Ho 3.01, 4 Gd 3.01
Ni  0.2500  0.2500  0.7500  4 Gd 3.01, 4 Ho 3.01

no.,N(E_F) (states/eV/f.u.),raw total energy (eV per atom)
1,7.106,-9.3558
2,13.065,-5.9379
3,8.347,-6.8904
4,6.790,-9.3522
5,8.453,-6.9318
6,8.363,-6.9450
7,8.085,-6.9152
8,8.700,-6.8980
9,4.845,-6.5227
10,7.719,-6.8709
11,6.650,-7.3406
12,4.829,-7.4338
13,4.233,-7.9255
14,2.591,-8.3049
15,4.763,-9.6928
16,6.188,-9.7592
17,2.998,-7.9285
18,3.032,-8.3818
19,3.225,-7.4028
20,6.842,-10.5383
21,2.965,-8.2950
22,3.707,-8.0092
23,3.578,-8.4073
24,2.302,-8.5536
25,2.939,-8.7977
26,2.441,-7.5523
27,3.415,-8.8033
28,2.495,-6.7650